# AlSbP2

A relaxed AlSbP2 crystal (GGA-PBE, Alexandria).

extended XYZ file:
```
4
Lattice="-1.795 -2.137 -1.310 1.998 -2.294 0.504 -3.492 -1.463 7.176" Properties=species:S:1:pos:R:3 pbc="T T T"
Sb -1.817 -0.761 3.734
Al -2.717 -3.396 5.388
P -0.076 -0.032 0.156
P -0.427 -2.437 0.682
```

Summary:
Spin magnetization (μB per cell): 0.000
ΔE to the lowest computed polymorph (meV/atom): 385
Symmetry: No. 35
ΔE_f (raw) (eV/atom): 0.3147

***

# LaDy6Tm3Th2

A relaxed LaDy6Tm3Th2 crystal (GGA-PBE, Alexandria).

extended XYZ file:
```
12
Lattice="-1.382 0.015 -6.011 -4.517 -0.123 4.198 1.733 11.578 0.689" Properties=species:S:1:pos:R:3 pbc="T T T"
La 0.000 0.000 0.000
Dy -2.573 8.618 -2.563
Dy -3.968 2.824 -1.181
Dy -1.593 2.852 1.439
Dy -3.634 8.571 0.889
Dy -0.198 8.646 0.056
Dy -0.533 2.899 -2.014
Tm -3.129 5.689 2.842
Tm -1.038 5.781 -3.966
Tm -2.083 5.735 -0.562
Th -3.472 -0.077 0.795
Th -2.427 -0.031 -2.609
```

Summary:
Spin magnetization (μB per cell): 0.000
Symmetry: No. 12
Energy relative to the elements (eV per formula unit): 0.4

***

# Be3NbBi

A relaxed Be3NbBi crystal (GGA-PBE, Alexandria).

extended XYZ file:
```
5
Lattice="4.580 0.000 0.000 0.000 4.580 0.000 0.000 0.000 4.580" Properties=species:S:1:pos:R:3 pbc="T T T"
Be 0.000 2.290 0.000
Be 0.000 0.000 2.290
Be 2.290 0.000 0.000
Nb 2.290 2.290 2.290
Bi 0.000 0.000 0.000
```

Summary:
Spin magnetization (μB per cell): 0.982
ΔE to the lowest computed polymorph (meV/atom): 596
Symmetry: No. 221
Energy relative to the elements (eV per formula unit): 9.1